1.
Below is an optimized crystal structure of KFeN, with properties calculated at the GGA-PBE level.

Lattice parameters (Å, degrees): 3.0906 3.0906 5.5569 90.00 90.00 120.00
With the nearest neighbours (Å) after each atom.
Space group P3m1 (No. 156)
Inequivalent atoms, fractional coordinates:
K 0.0000 0.0000 0.0000 [1 per cell]  3 N 2.85, 6 K 3.09, 3 Fe 3.17
Fe 0.3333 0.6667 0.4725 [1 per cell]  3 N 1.83
N 0.6667 0.3333 0.4010 [1 per cell]  3 Fe 1.83

Output
The value obtained for the energy relative to the lowest polymorph listed for this composition is 201.2 meV/atom. Its uncorrected formation energy is 0.16 eV/atom. For the volume, the calculation gives 46.0 Å³/cell.


2.
Below is an optimized crystal structure of Nd2Tl4Pb, with properties calculated at the GGA-PBE level.

Lattice parameters (Å, degrees): 12.8875 5.9186 6.1837 90.00 107.66 90.00
With the nearest neighbours (Å) after each atom.
Space group C2/m (No. 12)
Inequivalent atoms, fractional coordinates:
Nd 0.1490 0.0000 0.0845 [4 per cell]  8 Tl 3.33-3.64, 1 Nd 3.66
Tl 0.0000 0.0000 0.5000 [2 per cell]  2 Pb 2.96, 2 Tl 3.13
Tl 0.0000 0.5000 0.0000 [2 per cell]  2 Pb 3.09, 2 Tl 3.25
Tl 0.2451 0.5000 0.3527 [4 per cell]  4 Tl 3.13-3.46, 4 Nd 3.33-3.43
Pb 0.0000 0.5000 0.5000 [2 per cell]  4 Tl 2.96-3.09

Output
For the volume, the calculation gives 449.4 Å³/cell. As for the formation energy: -0.02 eV per atom.


3.
Below is an optimized crystal structure of LiAc2Tl, with properties calculated at the GGA-PBE level.

Lattice parameters (Å, degrees): 8.1749 8.1749 8.1749 90.00 90.00 90.00
With the nearest neighbours (Å) after each atom.
Space group Fm-3m (No. 225)
Inequivalent atoms, fractional coordinates:
Li 0.0000 0.0000 0.0000 [4 per cell]  8 Ac 3.54
Ac 0.2500 0.2500 0.2500 [8 per cell]  4 Tl 3.54, 4 Li 3.54
Tl 0.0000 0.0000 0.5000 [4 per cell]  8 Ac 3.54

Output
For the volume, the calculation gives 546.3 Å³/cell. As for the formation energy: -0.18 eV per atom.


4.
Below is an optimized crystal structure of Pr8Mg2Tl, with properties calculated at the GGA-PBE level.

Lattice parameters (Å, degrees): 17.9026 5.0799 8.2941 90.00 109.30 90.00
With the nearest neighbours (Å) after each atom.
Space group C2/m (No. 12)
Inequivalent atoms, fractional coordinates:
Pr 0.0544 0.0000 0.2277 [4 per cell]  1 Mg 3.43, 9 Pr 3.45-3.70, 2 Tl 3.74
Pr 0.0922 0.5000 0.9451 [4 per cell]  3 Mg 3.49-3.50, 1 Tl 3.51, 8 Pr 3.55-3.84
Pr 0.1372 0.0000 0.6923 [4 per cell]  3 Mg 3.47-3.48, 2 Tl 3.53, 7 Pr 3.55-3.75
Pr 0.1802 0.5000 0.4346 [4 per cell]  1 Mg 3.42, 1 Tl 3.44, 7 Pr 3.45-3.75
Mg 0.2269 0.0000 0.1324 [4 per cell]  8 Pr 3.42-3.50, 2 Mg 3.63
Tl 0.0000 0.5000 0.5000 [2 per cell]  12 Pr 3.44-3.74

Output
For the volume, the calculation gives 711.9 Å³/cell. As for the formation energy: -0.07 eV per atom.


5.
Below is an optimized crystal structure of AcZnCu2O4, with properties calculated at the GGA-PBE level.

Lattice parameters (Å, degrees): 5.5611 5.5611 6.7154 90.00 90.00 90.00
With the nearest neighbours (Å) after each atom.
Space group I-42m (No. 121)
Inequivalent atoms, fractional coordinates:
Ac 0.0000 0.0000 0.0000 [2 per cell]  8 O 2.64-2.66
Zn 0.0000 0.0000 0.5000 [2 per cell]  4 O 2.03
Cu 0.0000 0.5000 0.2500 [4 per cell]  4 O 2.05
O 0.2038 0.2038 0.3152 [8 per cell]  1 Zn 2.03, 2 Cu 2.05

Output
Its uncorrected formation energy is -1.55 eV/atom. For the volume, the calculation gives 207.7 Å³/cell.


6.
Below is an optimized crystal structure of Y12Te3H5, with properties calculated at the GGA-PBE level.

Lattice parameters (Å, degrees): 15.5957 15.5957 15.5957 90.00 90.00 90.00
With the nearest neighbours (Å) after each atom.
Space group Ia-3d (No. 230)
Inequivalent atoms, fractional coordinates:
Y 0.0418 0.0529 0.6512 [96 per cell]  1 H 2.18
Te 0.0000 0.2500 0.1250 [24 per cell]  8 Y 3.13-3.17
H 0.0000 0.0000 0.0000 [16 per cell]  6 Y 2.58
H 0.0000 0.2500 0.3750 [24 per cell]  4 Y 2.18

Output
The electronic total energy comes out at -5.67 eV per atom. For the volume, the calculation gives 3793.2 Å³/cell.


7.
Below is an optimized crystal structure of AsIr2Rh, with properties calculated at the GGA-PBE level.

Lattice parameters (Å, degrees): 4.0052 4.0052 7.4072 90.00 90.00 90.00
With the nearest neighbours (Å) after each atom.
Space group I4/mmm (No. 139)
Inequivalent atoms, fractional coordinates:
As 0.0000 0.0000 0.0000 [2 per cell]  8 Ir 2.73, 4 Rh 2.83
Ir 0.0000 0.5000 0.2500 [4 per cell]  4 Rh 2.73, 4 As 2.73, 4 Ir 2.83
Rh 0.0000 0.0000 0.5000 [2 per cell]  8 Ir 2.73, 4 As 2.83

Output
For the volume, the calculation gives 118.8 Å³/cell. As for the formation energy: 0.19 eV per atom.


8.
Below is an optimized crystal structure of LuPa3, with properties calculated at the GGA-PBE level.

Lattice parameters (Å, degrees): 4.6661 4.6661 9.3648 90.00 90.00 90.00
With the nearest neighbours (Å) after each atom.
Space group I4/mmm (No. 139)
Inequivalent atoms, fractional coordinates:
Lu 0.0000 0.0000 0.0000 [2 per cell]  12 Pa 3.30-3.31
Pa 0.0000 0.0000 0.5000 [2 per cell]  4 Lu 3.30, 8 Pa 3.31
Pa 0.0000 0.5000 0.2500 [4 per cell]  8 Pa 3.30-3.31, 4 Lu 3.31

Output
The value obtained for the energy relative to the lowest polymorph listed for this composition is 0.0 meV/atom. For the volume, the calculation gives 203.9 Å³/cell. As for the formation energy: 0.12 eV per atom.


9.
Below is an optimized crystal structure of La2MnP3Rh4, with properties calculated at the GGA-PBE level.

Lattice parameters (Å, degrees): 4.1323 4.1323 10.1315 90.00 90.00 90.00
With the nearest neighbours (Å) after each atom.
Space group P-4m2 (No. 115)
Inequivalent atoms, fractional coordinates:
La 0.0000 0.5000 0.2474 [2 per cell]  8 Rh 3.14-3.29, 6 P 3.16-3.25, 2 Mn 3.25
Mn 0.5000 0.5000 0.0000 [1 per cell]  4 Rh 2.48
P 0.0000 0.0000 0.0000 [1 per cell]  4 Rh 2.48
P 0.0000 0.5000 0.6330 [2 per cell]  5 Rh 2.35-2.47
Rh 0.0000 0.0000 0.5000 [1 per cell]  4 P 2.47
Rh 0.0000 0.5000 0.8654 [2 per cell]  3 P 2.35-2.48, 2 Mn 2.48
Rh 0.5000 0.5000 0.5000 [1 per cell]  4 P 2.47

Output
For the volume, the calculation gives 173.0 Å³/cell. As for the formation energy: -0.97 eV per atom.


10.
Below is an optimized crystal structure of Sr2CdPb, with properties calculated at the GGA-PBE level.

Lattice parameters (Å, degrees): 5.0091 5.0091 10.9766 90.00 90.00 90.00
With the nearest neighbours (Å) after each atom.
Space group I-4m2 (No. 119)
Inequivalent atoms, fractional coordinates:
Sr 0.0000 0.0000 0.0000 [2 per cell]  4 Pb 3.54, 4 Cd 3.72, 4 Sr 3.72
Sr 0.0000 0.5000 0.2500 [2 per cell]  4 Cd 3.54, 4 Pb 3.72, 4 Sr 3.72
Cd 0.0000 0.5000 0.7500 [2 per cell]  8 Sr 3.54-3.72, 4 Pb 3.72
Pb 0.0000 0.0000 0.5000 [2 per cell]  8 Sr 3.54-3.72, 4 Cd 3.72

Output
The value obtained for the energy relative to the lowest polymorph listed for this composition is 196.7 meV/atom. For the volume, the calculation gives 275.4 Å³/cell. As for the formation energy: -0.31 eV per atom.


11.
Below is an optimized crystal structure of BaBr5, with properties calculated at the GGA-PBE level.

Lattice parameters (Å, degrees): 11.1597 4.7879 10.7026 90.00 119.86 90.00
With the nearest neighbours (Å) after each atom.
Space group Cm (No. 8)
Inequivalent atoms, fractional coordinates:
Ba 0.0000 0.0000 0.0000 [2 per cell]  7 Br 3.30-3.35
Br 0.0826 0.5000 0.2482 [2 per cell]  1 Br 2.74
Br 0.2109 0.5000 0.0167 [2 per cell]  3 Ba 3.30-3.32, 1 Br 3.42
Br 0.2955 0.0000 0.7808 [2 per cell]  1 Br 2.74
Br 0.4042 0.0000 0.6007 [2 per cell]  2 Br 2.47-2.74
Br 0.4298 0.0000 0.3841 [2 per cell]  2 Br 2.47-2.74

Output
The value obtained for the energy relative to the lowest polymorph listed for this composition is 0.0 meV/atom. Its uncorrected formation energy is -0.99 eV/atom. For the volume, the calculation gives 495.9 Å³/cell.


12.
Below is an optimized crystal structure of KMoAs2Br, with properties calculated at the GGA-PBE level.

Lattice parameters (Å, degrees): 4.8474 4.8474 5.8640 90.00 90.00 90.00
With the nearest neighbours (Å) after each atom.
Space group P4/mmm (No. 123)
Inequivalent atoms, fractional coordinates:
K 0.0000 0.0000 0.0000 [1 per cell]  4 Br 3.43, 8 As 3.80
Mo 0.5000 0.5000 0.5000 [1 per cell]  4 As 2.42
As 0.0000 0.5000 0.5000 [2 per cell]  2 Mo 2.42
Br 0.5000 0.5000 0.0000 [1 per cell]  2 Mo 2.93

Output
The value obtained for the energy relative to the lowest polymorph listed for this composition is 0.0 meV/atom. Its uncorrected formation energy is -0.23 eV/atom. For the volume, the calculation gives 137.8 Å³/cell.


13.
Below is an optimized crystal structure of LiErGe2, with properties calculated at the GGA-PBE level.

Lattice parameters (Å, degrees): 3.4801 3.4801 6.2928 90.00 90.00 90.00
With the nearest neighbours (Å) after each atom.
Space group P4/mmm (No. 123)
Inequivalent atoms, fractional coordinates:
Li 0.0000 0.0000 0.0000 [1 per cell]  8 Ge 2.79
Er 0.0000 0.0000 0.5000 [1 per cell]  8 Ge 3.06, 2 Li 3.15
Ge 0.5000 0.5000 0.2099 [2 per cell]  1 Ge 2.64, 4 Li 2.79

Output
The value obtained for the energy relative to the lowest polymorph listed for this composition is 171.8 meV/atom. For the volume, the calculation gives 76.2 Å³/cell. As for the formation energy: -0.42 eV per atom.


14.
Below is an optimized crystal structure of Pr2GaP3Ir4, with properties calculated at the GGA-PBE level.

Lattice parameters (Å, degrees): 4.1583 4.1583 10.0129 90.00 90.00 90.00
With the nearest neighbours (Å) after each atom.
Space group P-4m2 (No. 115)
Inequivalent atoms, fractional coordinates:
Pr 0.0000 0.5000 0.2471 [2 per cell]  8 Ir 3.16-3.28, 6 P 3.17-3.23, 2 Ga 3.23
Ga 0.5000 0.5000 0.0000 [1 per cell]  4 Ir 2.46
P 0.0000 0.0000 0.0000 [1 per cell]  4 Ir 2.46
P 0.0000 0.5000 0.6356 [2 per cell]  5 Ir 2.33-2.48
Ir 0.0000 0.0000 0.5000 [1 per cell]  4 P 2.48
Ir 0.0000 0.5000 0.8681 [2 per cell]  3 P 2.33-2.46, 2 Ga 2.46
Ir 0.5000 0.5000 0.5000 [1 per cell]  4 P 2.48

Output
For the volume, the calculation gives 173.1 Å³/cell. As for the formation energy: -0.90 eV per atom.


15.
Below is an optimized crystal structure of PmMg6Pb6, with properties calculated at the GGA-PBE level.

Lattice parameters (Å, degrees): 6.3475 6.3475 9.9166 90.00 90.00 120.00
With the nearest neighbours (Å) after each atom.
Space group P6/mmm (No. 191)
Inequivalent atoms, fractional coordinates:
Pm 0.0000 0.0000 0.0000 [1 per cell]  8 Pb 3.33-3.66
Mg 0.0000 0.5000 0.2435 [6 per cell]  6 Pb 3.03-3.30, 4 Mg 3.17
Pb 0.0000 0.0000 0.3354 [2 per cell]  1 Pb 3.27, 6 Mg 3.30, 1 Pm 3.33
Pb 0.3333 0.6667 0.0000 [2 per cell]  6 Mg 3.03
Pb 0.3333 0.6667 0.5000 [2 per cell]  6 Mg 3.13

Output
The value obtained for the energy relative to the lowest polymorph listed for this composition is 2.6 meV/atom. For the volume, the calculation gives 346.0 Å³/cell. As for the formation energy: -0.10 eV per atom.